# TiPdS2F (PBEsol, relaxed)
data_TiPdS2F
_chemical_formula_sum 'Ti1 Pd1 S2 F1'
_cell_length_a 4.4662
_cell_length_b 4.4662
_cell_length_c 4.9222
_cell_angle_alpha 90.00
_cell_angle_beta 90.00
_cell_angle_gamma 90.00
_space_group_name_H-M_alt 'P 4/m m m'
_space_group_IT_number 123
_space_group_name_Hall '-P 4 2'
loop_
_atom_site_label
_atom_site_type_symbol
_atom_site_fract_x
_atom_site_fract_y
_atom_site_fract_z
Ti1 Ti 0.0000 0.0000 0.0000
Pd1 Pd 0.0000 0.0000 0.5000
S1 S 0.0000 0.5000 0.0000
F1 F 0.5000 0.5000 0.5000
# - Total magnetic moment: 0.0 μB/f.u.
# - ΔE_f (raw): -0.107 eV per atom
# - Fermi-level density of states: 5.28 states/eV/cell

# CdAg2Sb (PBEsol, relaxed)
data_CdAg2Sb
_chemical_formula_sum 'Cd3 Ag6 Sb3'
_cell_length_a 3.1736
_cell_length_b 3.1736
_cell_length_c 27.4231
_cell_angle_alpha 90.00
_cell_angle_beta 90.00
_cell_angle_gamma 120.00
_space_group_name_H-M_alt 'R -3 m'
_space_group_IT_number 166
_space_group_name_Hall '-R 3 2"'
loop_
_atom_site_label
_atom_site_type_symbol
_atom_site_fract_x
_atom_site_fract_y
_atom_site_fract_z
Cd1 Cd 0.0000 0.0000 0.0000
Ag1 Ag 0.0000 0.0000 0.2527
Sb1 Sb 0.0000 0.0000 0.5000
# - Energy above the most stable polymorph in this dataset: 3.2 kJ/mol of atoms
# - Total magnetic moment: 0.0 μB/f.u.
# - ΔE_f (raw): 0.077 eV per atom
# - Fermi-level density of states: 4.55 states/eV/cell

# AlAg2Mo (PBEsol, relaxed)
data_AlAg2Mo
_chemical_formula_sum 'Al2 Ag4 Mo2'
_cell_length_a 10.2173
_cell_length_b 2.6827
_cell_length_c 5.1425
_cell_angle_alpha 90.00
_cell_angle_beta 116.29
_cell_angle_gamma 90.00
_space_group_name_H-M_alt 'C 1 m 1'
_space_group_IT_number 8
loop_
_space_group_symop_operation_xyz
'x,y,z'
'x,-y,z'
'x+1/2,y+1/2,z'
'x+1/2,-y+1/2,z'
loop_
_atom_site_label
_atom_site_type_symbol
_atom_site_fract_x
_atom_site_fract_y
_atom_site_fract_z
Al1 Al 0.0000 0.0000 0.0000
Ag1 Ag 0.2389 0.5000 0.4204
Ag2 Ag 0.4993 0.0000 0.5217
Mo1 Mo 0.2592 0.0000 0.9439
# - Total magnetic moment: 0.0 μB/f.u.
# - Formation energy: 0.188 eV/atom
# - Fermi-level density of states: 4.00 states/eV/cell

# KHgBr (PBEsol, relaxed)
data_KHgBr
_chemical_formula_sum 'K2 Hg2 Br2'
_cell_length_a 4.4572
_cell_length_b 4.4572
_cell_length_c 14.0131
_cell_angle_alpha 90.00
_cell_angle_beta 90.00
_cell_angle_gamma 90.00
_space_group_name_H-M_alt 'I 4 m m'
_space_group_IT_number 107
_space_group_name_Hall 'I 4 -2'
loop_
_atom_site_label
_atom_site_type_symbol
_atom_site_fract_x
_atom_site_fract_y
_atom_site_fract_z
K1 K 0.0000 0.0000 0.0000
Hg1 Hg 0.0000 0.0000 0.7502
Br1 Br 0.0000 0.0000 0.5182
# - Total magnetic moment: 0.0 μB/f.u.
# - ΔE_f (raw): -0.914 eV per atom
# - Fermi-level density of states: 0.00 states/eV/cell

# NaYSbTe2 (PBEsol, relaxed)
data_NaYSbTe2
_chemical_formula_sum 'Na1 Y1 Sb1 Te2'
_cell_length_a 5.8074
_cell_length_b 5.8074
_cell_length_c 5.7458
_cell_angle_alpha 90.00
_cell_angle_beta 90.00
_cell_angle_gamma 90.00
_space_group_name_H-M_alt 'P 4/m m m'
_space_group_IT_number 123
_space_group_name_Hall '-P 4 2'
loop_
_atom_site_label
_atom_site_type_symbol
_atom_site_fract_x
_atom_site_fract_y
_atom_site_fract_z
Na1 Na 0.0000 0.0000 0.0000
Y1 Y 0.5000 0.5000 0.5000
Sb1 Sb 0.5000 0.5000 0.0000
Te1 Te 0.0000 0.5000 0.5000
# - Total magnetic moment: 0.0 μB/f.u.
# - ΔE_f (raw): -0.346 eV per atom
# - Fermi-level density of states: 4.29 states/eV/cell

# KTaSn3 (PBEsol, relaxed)
data_KTaSn3
_chemical_formula_sum 'K1 Ta1 Sn3'
_cell_length_a 5.3709
_cell_length_b 5.3709
_cell_length_c 5.3709
_cell_angle_alpha 90.00
_cell_angle_beta 90.00
_cell_angle_gamma 90.00
_space_group_name_H-M_alt 'P m -3 m'
_space_group_IT_number 221
_space_group_name_Hall '-P 4 2 3'
loop_
_atom_site_label
_atom_site_type_symbol
_atom_site_fract_x
_atom_site_fract_y
_atom_site_fract_z
K1 K 0.0000 0.0000 0.0000
Ta1 Ta 0.5000 0.5000 0.5000
Sn1 Sn 0.0000 0.0000 0.5000
# - Total magnetic moment: 2.3 μB/f.u.
# - Formation energy: 2.046 eV/atom
# - Fermi-level density of states: 7.78 states/eV/cell

# Al2TcBr (PBEsol, relaxed)
data_Al2TcBr
_chemical_formula_sum 'Al2 Tc1 Br1'
_cell_length_a 2.9493
_cell_length_b 4.6154
_cell_length_c 4.7553
_cell_angle_alpha 90.00
_cell_angle_beta 90.00
_cell_angle_gamma 90.00
_space_group_name_H-M_alt 'P m m m'
_space_group_IT_number 47
loop_
_space_group_symop_operation_xyz
'x,y,z'
'-x,-y,-z'
'-x,-y,z'
'x,y,-z'
'x,-y,-z'
'-x,y,z'
'-x,y,-z'
'x,-y,z'
loop_
_atom_site_label
_atom_site_type_symbol
_atom_site_fract_x
_atom_site_fract_y
_atom_site_fract_z
Al1 Al 0.0000 0.0000 0.0000
Al2 Al 0.5000 0.5000 0.0000
Tc1 Tc 0.0000 0.5000 0.5000
Br1 Br 0.5000 0.0000 0.5000
# - Energy above the most stable polymorph in this dataset: 54.7 kJ/mol of atoms
# - Total magnetic moment: 0.0 μB/f.u.
# - ΔE_f (raw): 0.471 eV per atom
# - Fermi-level density of states: 3.47 states/eV/cell

# MgCoTe (PBEsol, relaxed)
data_MgCoTe
_chemical_formula_sum 'Mg4 Co4 Te4'
_cell_length_a 5.9611
_cell_length_b 5.9611
_cell_length_c 5.9611
_cell_angle_alpha 90.00
_cell_angle_beta 90.00
_cell_angle_gamma 90.00
_space_group_name_H-M_alt 'F -4 3 m'
_space_group_IT_number 216
_space_group_name_Hall 'F -4 2 3'
loop_
_atom_site_label
_atom_site_type_symbol
_atom_site_fract_x
_atom_site_fract_y
_atom_site_fract_z
Mg1 Mg 0.0000 0.0000 0.0000
Co1 Co 0.2500 0.2500 0.2500
Te1 Te 0.0000 0.0000 0.5000
# - Total magnetic moment: 0.0 μB/f.u.
# - ΔE_f (raw): -0.260 eV per atom
# - Fermi-level density of states: 10.30 states/eV/cell

# LaCdP2 (PBEsol, relaxed)
data_LaCdP2
_chemical_formula_sum 'La2 Cd2 P4'
_cell_length_a 4.5067
_cell_length_b 5.6114
_cell_length_c 6.6746
_cell_angle_alpha 90.00
_cell_angle_beta 90.00
_cell_angle_gamma 90.00
_space_group_name_H-M_alt 'I m m m'
_space_group_IT_number 71
_space_group_name_Hall '-I 2 2'
loop_
_atom_site_label
_atom_site_type_symbol
_atom_site_fract_x
_atom_site_fract_y
_atom_site_fract_z
La1 La 0.0000 0.0000 0.0000
Cd1 Cd 0.0000 0.0000 0.5000
P1 P 0.0000 0.5000 0.2178
# - Energy above the most stable polymorph in this dataset: 0.0 kJ/mol of atoms
# - Total magnetic moment: 0.0 μB/f.u.
# - Formation energy: -0.536 eV/atom
# - Fermi-level density of states: 4.49 states/eV/cell

# Zn2NiMo (PBEsol, relaxed)
data_Zn2NiMo
_chemical_formula_sum 'Zn4 Ni2 Mo2'
_cell_length_a 3.7966
_cell_length_b 3.7966
_cell_length_c 7.2436
_cell_angle_alpha 90.00
_cell_angle_beta 90.00
_cell_angle_gamma 90.00
_space_group_name_H-M_alt 'I -4 m 2'
_space_group_IT_number 119
_space_group_name_Hall 'I -4 -2'
loop_
_atom_site_label
_atom_site_type_symbol
_atom_site_fract_x
_atom_site_fract_y
_atom_site_fract_z
Zn1 Zn 0.0000 0.0000 0.0000
Zn2 Zn 0.0000 0.5000 0.2500
Ni1 Ni 0.0000 0.5000 0.7500
Mo1 Mo 0.0000 0.0000 0.5000
# - Energy above the most stable polymorph in this dataset: 16.4 kJ/mol of atoms
# - Total magnetic moment: 0.0 μB/f.u.
# - Formation energy: 0.128 eV/atom
# - Fermi-level density of states: 7.45 states/eV/cell

# CaPbSe2 (PBEsol, relaxed)
data_CaPbSe2
_chemical_formula_sum 'Ca3 Pb3 Se6'
_cell_length_a 4.2260
_cell_length_b 4.2260
_cell_length_c 20.9575
_cell_angle_alpha 90.00
_cell_angle_beta 90.00
_cell_angle_gamma 120.00
_space_group_name_H-M_alt 'R -3 m'
_space_group_IT_number 166
_space_group_name_Hall '-R 3 2"'
loop_
_atom_site_label
_atom_site_type_symbol
_atom_site_fract_x
_atom_site_fract_y
_atom_site_fract_z
Ca1 Ca 0.0000 0.0000 0.0000
Pb1 Pb 0.0000 0.0000 0.5000
Se1 Se 0.0000 0.0000 0.2545
# - Total magnetic moment: 0.0 μB/f.u.
# - ΔE_f (raw): -1.264 eV per atom
# - Fermi-level density of states: 0.00 states/eV/cell

# Cd4SbRh (PBEsol, relaxed)
data_Cd4SbRh
_chemical_formula_sum 'Cd16 Sb4 Rh4'
_cell_length_a 7.8322
_cell_length_b 7.8322
_cell_length_c 7.8322
_cell_angle_alpha 90.00
_cell_angle_beta 90.00
_cell_angle_gamma 90.00
_space_group_name_H-M_alt 'F -4 3 m'
_space_group_IT_number 216
_space_group_name_Hall 'F -4 2 3'
loop_
_atom_site_label
_atom_site_type_symbol
_atom_site_fract_x
_atom_site_fract_y
_atom_site_fract_z
Cd1 Cd 0.1242 0.1242 0.3758
Sb1 Sb 0.0000 0.0000 0.0000
Rh1 Rh 0.2500 0.2500 0.7500
# - Total magnetic moment: 0.0 μB/f.u.
# - ΔE_f (raw): 0.219 eV per atom
# - Fermi-level density of states: 3.19 states/eV/cell

What did the third record say?
# AlAg2Mo (PBEsol, relaxed)
data_AlAg2Mo
_chemical_formula_sum 'Al2 Ag4 Mo2'
_cell_length_a 10.2173
_cell_length_b 2.6827
_cell_length_c 5.1425
_cell_angle_alpha 90.00
_cell_angle_beta 116.29
_cell_angle_gamma 90.00
_space_group_name_H-M_alt 'C 1 m 1'
_space_group_IT_number 8
loop_
_space_group_symop_operation_xyz
'x,y,z'
'x,-y,z'
'x+1/2,y+1/2,z'
'x+1/2,-y+1/2,z'
loop_
_atom_site_label
_atom_site_type_symbol
_atom_site_fract_x
_atom_site_fract_y
_atom_site_fract_z
Al1 Al 0.0000 0.0000 0.0000
Ag1 Ag 0.2389 0.5000 0.4204
Ag2 Ag 0.4993 0.0000 0.5217
Mo1 Mo 0.2592 0.0000 0.9439
# - Total magnetic moment: 0.0 μB/f.u.
# - Formation energy: 0.188 eV/atom
# - Fermi-level density of states: 4.00 states/eV/cell